[1]
Below is Cs6Au2S after structural relaxation, with properties calculated at the PBE level.

a b c (Å): 9.004 8.781 17.586
angles (deg): 90.00 120.61 90.00
Space group P2_1/c (No. 14)
Inequivalent atoms, fractional coordinates:
1 Cs 0.000 0.221 0.157
2 Cs 0.311 0.729 0.654
3 Cs 0.317 0.207 0.001
4 Au 0.318 0.003 0.817
5 S 0.000 0.000 0.000

* Fermi-level density of states: 10.77 states/eV/cell
* uncorrected formation energy: -4.235 eV per formula unit

[2]
Below is Cs12Au5S after structural relaxation, with properties calculated at the PBE level.

a b c (Å): 9.019 15.820 17.782
angles (deg): 90.00 90.12 90.00
Space group C2/m (No. 12)
Inequivalent atoms, fractional coordinates:
1 Cs 0.153 0.154 0.106
2 Cs 0.164 0.000 0.388
3 Cs 0.165 0.334 0.386
4 Cs 0.190 0.500 0.106
5 Au 0.000 0.168 0.500
6 Au 0.000 0.333 0.000
7 Au 0.000 0.500 0.500
8 S 0.000 0.000 0.000

* Fermi-level density of states: 28.03 states/eV/cell
* uncorrected formation energy: -6.343 eV per formula unit

[3]
Below is Cs2Au3S2 after structural relaxation, with properties calculated at the PBE level.

a b c (Å): 4.823 5.608 9.163
angles (deg): 90.00 95.91 90.00
Space group P2/m (No. 10)
Inequivalent atoms, fractional coordinates:
1 Cs 0.208 0.000 0.256
2 Au 0.000 0.500 0.500
3 Au 0.209 0.500 0.917
4 S 0.367 0.500 0.683

* Fermi-level density of states: 2.24 states/eV/cell
* uncorrected formation energy: -3.236 eV per formula unit

[4]
Below is CsAuS after structural relaxation, with properties calculated at the PBE level.

a b c (Å): 11.534 6.474 6.559
angles (deg): 90.00 90.00 90.00
Space group Pnma (No. 62)
Inequivalent atoms, fractional coordinates:
1 Cs 0.159 0.250 0.054
2 Au 0.000 0.000 0.500
3 S 0.078 0.750 0.282

* Fermi-level density of states: 0.00 states/eV/cell
* uncorrected formation energy: -2.412 eV per formula unit

[5]
Below is CsAuS2 after structural relaxation, with properties calculated at the PBE level.

a b c (Å): 6.181 14.284 7.114
angles (deg): 90.00 90.00 90.00
Space group Cmcm (No. 63)
Inequivalent atoms, fractional coordinates:
1 Cs 0.000 0.172 0.250
2 Au 0.000 0.498 0.250
3 S 0.000 0.389 0.503

* uncorrected formation energy: -2.387 eV per formula unit

[6]
Below is Cs12Au6S after structural relaxation, with properties calculated at the PBE level.

a b c (Å): 16.0642 16.0642 14.7496
angles (deg): 90.00 90.00 120.00
Space group R-3 (No. 148, hexagonal axes)
Inequivalent atoms, fractional coordinates:
1 Cs 0.0309 0.8153 0.3960
2 Cs 0.0489 0.8489 0.8870
3 Au 0.0492 0.7768 0.6471
4 S 0.0000 0.0000 0.0000

* Fermi-level density of states: 39.92 states/eV/cell
* uncorrected formation energy: -6.719 eV per formula unit

[7]
Below is CsAuS after structural relaxation, with properties calculated at the PBE level.

a b c (Å): 6.182 6.451 6.974
angles (deg): 90.00 115.50 90.00
Space group P2_1/m (No. 11)
Inequivalent atoms, fractional coordinates:
1 Cs 0.164 0.250 0.285
2 Au 0.500 0.000 0.000
3 S 0.390 0.750 0.184

* Fermi-level density of states: 0.00 states/eV/cell
* uncorrected formation energy: -2.385 eV per formula unit

[8]
Below is CsAuS after structural relaxation, with properties calculated at the PBE level.

a b c (Å): 5.7305 5.7305 26.1854
angles (deg): 90.00 90.00 120.00
Space group R-3m (No. 166, hexagonal axes)
Inequivalent atoms, fractional coordinates:
1 Cs 0.0000 0.0000 0.1050
2 Au 0.0000 0.0000 0.3283
3 S 0.0000 0.0000 0.2420

* uncorrected formation energy: -0.776 eV per formula unit

[9]
Below is CsAuS after structural relaxation, with properties calculated at the PBE level.

a b c (Å): 4.3868 4.3868 5.4285
angles (deg): 90.00 90.00 120.00
Space group P-6m2 (No. 187)
Inequivalent atoms, fractional coordinates:
1 Cs 0.0000 0.0000 0.0000
2 Au 0.6667 0.3333 0.5000
3 S 0.3333 0.6667 0.5000

* Fermi-level density of states: 0.27 states/eV/cell
* uncorrected formation energy: -1.820 eV per formula unit

[10]
Below is Cs8AuS2 after structural relaxation, with properties calculated at the PBE level.

a b c (Å): 20.065 11.595 7.086
angles (deg): 90.00 90.00 90.00
Space group C2/m (No. 12)
Inequivalent atoms, fractional coordinates:
1 Cs 0.086 0.242 0.230
2 Cs 0.167 0.000 0.713
3 Cs 0.172 0.500 0.770
4 Au 0.000 0.500 0.000
5 S 0.167 0.000 0.206

* Fermi-level density of states: 13.72 states/eV/cell
* uncorrected formation energy: -5.389 eV per formula unit

[11]
Below is Cs8Au3S after structural relaxation, with properties calculated at the PBE level.

a b c (Å): 8.624 8.624 8.624
angles (deg): 90.00 90.00 90.00
Space group Pm-3m (No. 221)
Inequivalent atoms, fractional coordinates:
1 Cs 0.240 0.240 0.240
2 Au 0.000 0.500 0.500
3 S 0.000 0.000 0.000

* Fermi-level density of states: 6.98 states/eV/cell
* uncorrected formation energy: -4.810 eV per formula unit

[12]
Below is Cs12Au3S5 after structural relaxation, with properties calculated at the PBE level.

a b c (Å): 20.889 20.889 20.889
angles (deg): 90.00 90.00 90.00
Space group Ia-3d (No. 230)
Inequivalent atoms, fractional coordinates:
1 Cs 0.026 0.061 0.649
2 Au 0.000 0.250 0.125
3 S 0.000 0.000 0.000
4 S 0.000 0.250 0.375

* Fermi-level density of states: 199.00 states/eV/cell
* uncorrected formation energy: -13.524 eV per formula unit

[13]
Below is CsAuS2 after structural relaxation, with properties calculated at the PBE level.

a b c (Å): 5.8923 5.8923 20.6327
angles (deg): 90.00 90.00 120.00
Space group R-3m (No. 166, hexagonal axes)
Inequivalent atoms, fractional coordinates:
1 Cs 0.0000 0.0000 0.0000
2 Au 0.0000 0.0000 0.5000
3 S 0.0000 0.0000 0.3930

* Fermi-level density of states: 0.00 states/eV/cell
* uncorrected formation energy: -0.748 eV per formula unit

[14]
Below is Cs2Au2S after structural relaxation, with properties calculated at the PBE level.

a b c (Å): 3.945 3.945 21.547
angles (deg): 90.00 90.00 90.00
Space group I4/mmm (No. 139)
Inequivalent atoms, fractional coordinates:
1 Cs 0.000 0.000 0.095
2 Au 0.000 0.500 0.250
3 S 0.000 0.000 0.500

* Fermi-level density of states: 3.64 states/eV/cell
* uncorrected formation energy: -2.123 eV per formula unit

[15]
Below is Cs2AuS2 after structural relaxation, with properties calculated at the PBE level.

a b c (Å): 6.643 6.643 9.084
angles (deg): 90.00 90.00 90.00
Space group I4/mmm (No. 139)
Inequivalent atoms, fractional coordinates:
1 Cs 0.000 0.500 0.250
2 Au 0.000 0.000 0.000
3 S 0.000 0.000 0.389

* Fermi-level density of states: 8.56 states/eV/cell
* uncorrected formation energy: -2.158 eV per formula unit

[16]
Below is Cs6AuS after structural relaxation, with properties calculated at the PBE level.

a b c (Å): 9.226 15.916 8.996
angles (deg): 90.00 91.61 90.00
Space group C2/m (No. 12)
Inequivalent atoms, fractional coordinates:
1 Cs 0.145 0.145 0.234
2 Cs 0.211 0.500 0.222
3 Au 0.000 0.000 0.500
4 S 0.000 0.000 0.000

* Fermi-level density of states: 10.41 states/eV/cell
* uncorrected formation energy: -3.574 eV per formula unit